Version one
Entry from Alexandria via LeMat-Bulk: crystalline Cr2MoCl at its relaxed geometry (PBEsol).

Total moment (μB per formula unit): 0.003

Lattice parameters (Å, degrees): 7.9748 7.9748 7.9748 20.39 20.39 20.39
Atoms (fractional coordinates):
Cr  0.0000  0.0000  0.0000
Cr  0.2670  0.2670  0.2670
Mo  0.5066  0.5066  0.5066
Cl  0.7548  0.7548  0.7548

***

Version two
Entry from Alexandria via LeMat-Bulk: crystalline Cr2MoCl at its relaxed geometry (PBEsol).

Total moment (μB per formula unit): 0.190

Lattice parameters (Å, degrees): 2.8216 4.2543 4.3167 90.00 90.00 90.00
Atoms (fractional coordinates):
Cr  0.0000  0.0000  0.0000
Cr  0.5000  0.0000  0.5000
Mo  0.0000  0.5000  0.5000
Cl  0.5000  0.5000  0.0000

***

Version three
Entry from Alexandria via LeMat-Bulk: crystalline Cr2MoCl at its relaxed geometry (PBEsol).

Total moment (μB per formula unit): 0.004

Lattice parameters (Å, degrees): 4.7036 4.7036 4.2901 90.54 90.54 35.10
Atoms (fractional coordinates):
Cr  0.0000  0.0000  0.0000
Cr  0.7183  0.7183  0.7973
Mo  0.2717  0.2717  0.2345
Cl  0.4840  0.4840  0.6039

***

Most favorable structure: version one. The second most favorable one is 251 meV per atom above it.

***

Version one
Entry from Alexandria via LeMat-Bulk: crystalline Cr2NiCl at its relaxed geometry (PBEsol).

Total moment (μB per formula unit): 1.117

Lattice parameters (Å, degrees): 2.9124 3.1899 6.0654 90.00 90.00 90.00
Atoms (fractional coordinates):
Cr  0.0000  0.0000  0.1738
Cr  0.0000  0.0000  0.8262
Ni  0.5000  0.5000  0.0000
Cl  0.5000  0.0000  0.5000

***

Version two
Entry from Alexandria via LeMat-Bulk: crystalline Cr2NiCl at its relaxed geometry (PBEsol).

Total moment (μB per formula unit): 0.003

Lattice parameters (Å, degrees): 3.9970 3.9970 3.9970 60.00 60.00 60.00
Atoms (fractional coordinates):
Cr  0.2500  0.2500  0.2500
Cr  0.7500  0.7500  0.7500
Ni  0.0000  0.0000  0.0000
Cl  0.5000  0.5000  0.5000

***

Most favorable structure: version one. The second most favorable one is 295 meV per atom above it.

***

Version one
Entry from Alexandria via LeMat-Bulk: crystalline CrOs2Cl at its relaxed geometry (PBEsol).

Total moment (μB per formula unit): 0.003

Lattice parameters (Å, degrees): 2.7078 2.7078 8.0452 90.00 90.00 90.00
Atoms (fractional coordinates):
Cr  0.0000  0.0000  0.0000
Os  0.0000  0.0000  0.4544
Os  0.5000  0.5000  0.2312
Cl  0.5000  0.5000  0.8263

***

Version two
Entry from Alexandria via LeMat-Bulk: crystalline CrOs2Cl at its relaxed geometry (PBEsol).

Total moment (μB per formula unit): 2.750

Lattice parameters (Å, degrees): 2.7898 3.5684 6.5264 90.00 90.00 90.00
Atoms (fractional coordinates):
Cr  0.0000  0.0000  0.0000
Os  0.0000  0.0000  0.4016
Os  0.5000  0.5000  0.2327
Cl  0.5000  0.5000  0.7935

***

Most favorable structure: version one. The second most favorable one is 239 meV per atom above it.

***

Version one
Entry from Alexandria via LeMat-Bulk: crystalline CrOs2Cl at its relaxed geometry (PBEsol).

Total moment (μB per formula unit): 0.656

Lattice parameters (Å, degrees): 5.1021 5.1021 5.1021 148.41 128.64 61.56
Atoms (fractional coordinates):
Cr  0.0000  0.0000  0.0000
Os  0.2662  0.7662  0.5000
Os  0.7338  0.2338  0.5000
Cl  0.5000  0.5000  0.0000

***

Version two
Entry from Alexandria via LeMat-Bulk: crystalline CrOs2Cl at its relaxed geometry (PBEsol).

Total moment (μB per formula unit): 0.000

Lattice parameters (Å, degrees): 5.0398 5.0398 5.0398 147.85 129.51 61.12
Atoms (fractional coordinates):
Cr  0.0000  0.0000  0.0000
Os  0.2786  0.7786  0.5000
Os  0.5447  0.5447  0.0000
Cl  0.7928  0.2928  0.5000

***

Version three
Entry from Alexandria via LeMat-Bulk: crystalline CrOs2Cl at its relaxed geometry (PBEsol).

Total moment (μB per formula unit): 1.744

Lattice parameters (Å, degrees): 4.3640 4.3640 2.8429 90.00 90.00 90.00
Atoms (fractional coordinates):
Cr  0.0000  0.0000  0.0000
Os  0.0000  0.5000  0.5000
Os  0.5000  0.0000  0.5000
Cl  0.5000  0.5000  0.0000

***

Most favorable structure: version one. The second most favorable one is 39 meV per atom above it.

***

Version one
Entry from Alexandria via LeMat-Bulk: crystalline CrOsCl2 at its relaxed geometry (PBEsol).

Total moment (μB per formula unit): 0.000

Lattice parameters (Å, degrees): 2.8388 3.0082 8.0648 90.00 90.00 90.00
Atoms (fractional coordinates):
Cr  0.0000  0.0000  0.0000
Os  0.5000  0.5000  0.1759
Cl  0.0000  0.5000  0.4150
Cl  0.5000  0.0000  0.7859

***

Version two
Entry from Alexandria via LeMat-Bulk: crystalline CrOsCl2 at its relaxed geometry (PBEsol).

Total moment (μB per formula unit): 3.323

Lattice parameters (Å, degrees): 2.9404 2.9404 8.3769 90.00 90.00 123.06
Atoms (fractional coordinates):
Cr  0.0000  0.0000  0.0000
Os  0.0000  0.0000  0.5000
Cl  0.5000  0.5000  0.2198
Cl  0.5000  0.5000  0.7802

***

Most favorable structure: version one. The second most favorable one is 885 meV per atom above it.

***

Version one
Entry from Alexandria via LeMat-Bulk: crystalline CrP2Cl at its relaxed geometry (PBEsol).

Total moment (μB per formula unit): 1.059

Lattice parameters (Å, degrees): 8.1234 8.1234 8.1234 21.46 21.46 21.46
Atoms (fractional coordinates):
Cr  0.0000  0.0000  0.0000
P  0.4704  0.4704  0.4704
P  0.7420  0.7420  0.7420
Cl  0.2728  0.2728  0.2728

***

Version two
Entry from Alexandria via LeMat-Bulk: crystalline CrP2Cl at its relaxed geometry (PBEsol).

Total moment (μB per formula unit): 0.003

Lattice parameters (Å, degrees): 4.2092 4.2092 4.2092 60.00 60.00 60.00
Atoms (fractional coordinates):
Cr  0.0000  0.0000  0.0000
P  0.2500  0.2500  0.2500
P  0.5000  0.5000  0.5000
Cl  0.7500  0.7500  0.7500

***

Most favorable structure: version one. The second most favorable one is 584 meV per atom above it.

***

Version one
Entry from Alexandria via LeMat-Bulk: crystalline CrPCl at its relaxed geometry (PBEsol).

Total moment (μB per formula unit): 2.222

Lattice parameters (Å, degrees): 4.1327 4.1327 4.1327 60.00 60.00 60.00
Atoms (fractional coordinates):
Cr  0.0000  0.0000  0.0000
P  0.7500  0.7500  0.7500
Cl  0.2500  0.2500  0.2500

***

Version two
Entry from Alexandria via LeMat-Bulk: crystalline CrPCl at its relaxed geometry (PBEsol).

Total moment (μB per formula unit): 2.798

Lattice parameters (Å, degrees): 4.2063 4.2063 4.2063 60.00 60.00 60.00
Atoms (fractional coordinates):
Cr  0.0000  0.0000  0.0000
P  0.5000  0.5000  0.5000
Cl  0.2500  0.2500  0.2500

***

Most favorable structure: version one. The second most favorable one is 892 meV per atom above it.